No. 1
Computed, not measured: crystalline MnSb2TeSe at its relaxed geometry at the GGA-PBE level of DFT.

abc: 5.0321 5.0321 4.9746
angles: 90.00 90.00 90.00
Sites, in units of the cell vectors:
Mn (0.0000, 0.0000, 0.0000)
Sb (0.0000, 0.5000, 0.0000)
Sb (0.5000, 0.0000, 0.0000)
Te (0.0000, 0.0000, 0.5000)
Se (0.5000, 0.5000, 0.5000)

Output
Space group ... P4/mmm (123)
Energy relative to the elements, uncorrected ... 1.7 eV/f.u.

No. 2
Computed, not measured: crystalline Mn2Tl3SbSe6 at its relaxed geometry at the GGA-PBE level of DFT.

abc: 6.8502 6.8502 7.8865
angles: 98.33 98.33 119.82
Sites, in units of the cell vectors:
Mn (0.1673, 0.8327, 0.0000)
Mn (0.8327, 0.1673, 0.0000)
Tl (0.0000, 0.0000, 0.5000)
Tl (0.3414, 0.6586, 0.5000)
Tl (0.6586, 0.3414, 0.5000)
Sb (0.5000, 0.5000, 0.0000)
Se (0.0766, 0.4363, 0.8064)
Se (0.2030, 0.2030, 0.1880)
Se (0.4363, 0.0766, 0.8064)
Se (0.5637, 0.9234, 0.1936)
Se (0.7970, 0.7970, 0.8120)
Se (0.9234, 0.5637, 0.1936)

Output
Space group ... C2/m (12)
Energy relative to the elements, uncorrected ... -4.7 eV/f.u.

No. 3
Computed, not measured: crystalline MnTlSbSe3 at its relaxed geometry at the GGA-PBE level of DFT.

abc: 9.0812 4.2193 9.7271
angles: 90.00 102.76 90.00
Sites, in units of the cell vectors:
Mn (0.0880, 0.2500, 0.1069)
Mn (0.9120, 0.7500, 0.8931)
Tl (0.1818, 0.2500, 0.7270)
Tl (0.8182, 0.7500, 0.2730)
Sb (0.3403, 0.7500, 0.3676)
Sb (0.6597, 0.2500, 0.6324)
Se (0.1252, 0.2500, 0.3718)
Se (0.1983, 0.7500, 0.0163)
Se (0.4329, 0.7500, 0.6481)
Se (0.5671, 0.2500, 0.3519)
Se (0.8017, 0.2500, 0.9837)
Se (0.8748, 0.7500, 0.6282)

Output
Space group ... P2_1/m (11)
Energy relative to the elements, uncorrected ... -2.1 eV/f.u.

What is the formula in the second record? Mn2Tl3SbSe6